a) Material: YCrNF2
Method: DFT, GGA+U
State: relaxed

POSCAR file:
```
YCrNF2
1.0
4.2919 0.0000 0.0000
0.0000 4.2919 0.0000
0.0000 0.0000 4.6723
Y Cr N F
1 1 1 2
direct
0.0000 0.0000 0.0000
0.5000 0.5000 0.5000
0.0000 0.0000 0.5000
0.0000 0.5000 0.0000
0.5000 0.0000 0.0000
```

Results
* SG: No. 123

=====

b) Material: YCrNF2
Method: DFT, GGA+U
State: relaxed

POSCAR file:
```
YCrNF2
1.0
3.9500 0.0000 0.0000
0.0000 3.9500 0.0000
0.0000 0.0000 4.2496
Y Cr N F
1 1 1 2
direct
0.0000 0.0000 0.0000
0.5000 0.5000 0.5000
0.5000 0.5000 0.0000
0.0000 0.5000 0.5000
0.5000 0.0000 0.5000
```

Results
* SG: No. 123

=====

Last place for stability: a)

=====

a) Material: ZnCrNF2
Method: DFT, GGA+U
State: relaxed

POSCAR file:
```
ZnCrNF2
1.0
3.8356 0.0000 0.0000
0.0000 3.8356 0.0000
0.0000 0.0000 4.1405
Zn Cr N F
1 1 1 2
direct
0.0000 0.0000 0.0000
0.5000 0.5000 0.5000
0.5000 0.5000 0.0000
0.0000 0.5000 0.5000
0.5000 0.0000 0.5000
```

Results
* SG: No. 123

=====

b) Material: ZnCrNF2
Method: DFT, GGA+U
State: relaxed

POSCAR file:
```
ZnCrNF2
1.0
3.9436 0.0000 0.0000
0.0000 3.9436 0.0000
0.0000 0.0000 4.0642
Zn Cr N F
1 1 1 2
direct
0.0000 0.0000 0.0000
0.5000 0.5000 0.5000
0.0000 0.0000 0.5000
0.0000 0.5000 0.0000
0.5000 0.0000 0.0000
```

Results
* SG: No. 123

=====

Last place for stability: b)

=====

a) Material: ZrCrN2F
Method: DFT, GGA+U
State: relaxed

POSCAR file:
```
ZrCrN2F
1.0
3.9542 0.0000 0.0000
0.0000 3.9542 0.0000
0.0000 0.0000 3.6292
Zr Cr N F
1 1 2 1
direct
0.0000 0.0000 0.0000
0.5000 0.5000 0.5000
0.0000 0.5000 0.5000
0.5000 0.0000 0.5000
0.5000 0.5000 0.0000
```

Results
* SG: No. 123

=====

b) Material: ZrCrN2F
Method: DFT, GGA+U
State: relaxed

POSCAR file:
```
ZrCrN2F
1.0
4.2582 0.0000 0.0000
0.0000 4.2582 0.0000
0.0000 0.0000 4.1315
Zr Cr N F
1 1 2 1
direct
0.0000 0.0000 0.0000
0.5000 0.5000 0.5000
0.0000 0.5000 0.0000
0.5000 0.0000 0.0000
0.0000 0.0000 0.5000
```

Results
* SG: No. 123

=====

Last place for stability: b)

=====

a) Material: NaCrF2
Method: DFT, GGA+U
State: relaxed

POSCAR file:
```
NaCrF2
1.0
5.4218 0.0000 0.0000
0.0000 5.4218 0.0000
0.0000 0.0000 9.2790
Na Cr F
4 4 8
direct
0.0000 0.0000 0.0000
0.0000 0.5000 0.2500
0.5000 0.0000 0.7500
0.5000 0.5000 0.5000
0.0000 0.0000 0.5000
0.0000 0.5000 0.7500
0.5000 0.0000 0.2500
0.5000 0.5000 0.0000
0.2483 0.2500 0.1250
0.2500 0.7483 0.3750
0.2500 0.7517 0.8750
0.2517 0.2500 0.6250
0.7483 0.7500 0.6250
0.7500 0.2483 0.8750
0.7500 0.2517 0.3750
0.7517 0.7500 0.1250
```

Results
* SG: No. 122

=====

b) Material: NaCrF2
Method: DFT, GGA+U
State: relaxed

POSCAR file:
```
NaCrF2
1.0
3.3415 0.0000 0.0000
-1.6707 2.8938 0.0000
0.0000 0.0000 19.3305
Na Cr F
3 3 6
direct
0.0000 0.0000 0.0000
0.3333 0.6667 0.6667
0.6667 0.3333 0.3333
0.0000 0.0000 0.5000
0.3333 0.6667 0.1667
0.6667 0.3333 0.8333
0.0000 0.0000 0.3985
0.0000 0.0000 0.6015
0.3333 0.6667 0.0652
0.3333 0.6667 0.2682
0.6667 0.3333 0.7318
0.6667 0.3333 0.9348
```

Results
* SG: No. 166

=====

Last place for stability: a)